# Ti3MnCrP6O24

Crystalline Ti3MnCrP6O24 at its relaxed geometry (PBE+U, Alexandria via LeMat-Bulk).

## Properties
- Density of states at the Fermi level: 0.435 states/eV per atom
- Space group: No. 146
- Energy: -7.802 eV per atom

Geometry as POSCAR:
```
Ti3MnCrP6O24
1.0
8.6601 0.0242 0.0172
4.3229 7.5041 0.0172
4.3229 2.5067 7.0730
Ti Mn Cr P O
3 1 1 6 24
Cartesian
2.3367 1.3550 0.9597
6.1123 3.5443 2.5103
14.9639 8.6769 6.1455
8.6524 5.0172 3.5535
11.1529 6.4671 4.5804
8.6656 1.5034 3.3413
11.6791 4.6531 1.8201
9.8399 4.3139 6.7773
7.4732 5.7073 0.3093
5.6094 5.4001 5.2812
8.6319 8.5162 3.7853
9.4023 1.1961 2.0209
9.6316 1.6488 4.5188
10.6676 3.0248 6.6897
12.7906 5.4994 4.9107
7.9664 2.8976 3.1768
10.8244 5.2423 2.9833
11.6473 5.6250 0.6332
7.6775 8.3864 2.6041
6.1304 2.6569 0.8550
8.3614 4.0605 7.0468
5.3511 2.1343 3.4902
9.9267 5.0678 5.4154
7.3928 4.9477 1.6791
11.9581 7.8932 3.5579
8.9589 5.9700 0.0557
11.1265 7.4100 6.2650
5.7086 4.4174 6.4665
6.4721 4.8137 4.1100
9.3294 7.1323 3.9551
4.5105 4.4819 2.2225
11.0923 3.2854 1.4916
6.2154 6.7651 5.6131
6.6695 7.0160 0.4576
7.9243 8.8846 5.0961
```